[1]
DyZn3GaCu: relaxed, PBE.

Computed properties:
Uncorrected energy, eV/atom: -2.74
Total magnetization, μB per atom: 0.00
Volume, A^3/atom: 17.8
Crystal system: orthorhombic

abc: 6.038 12.075 5.860
angles: 90.00 90.00 90.00
Space group Cmcm (No. 63)
Unique sites:
Dy (0.000, 0.205, 0.250) (multiplicity 4)
Zn (0.000, 0.366, 0.750) (multiplicity 4)
Zn (0.211, 0.000, 0.000) (multiplicity 8)
Ga (0.000, 0.152, 0.750) (multiplicity 4)
Cu (0.000, 0.426, 0.250) (multiplicity 4)

[2]
Ca2CrPb: relaxed, PBE.

Computed properties:
Uncorrected energy, eV/atom: -4.21
Total magnetization, μB per atom: 1.07
Volume, A^3/atom: 26.5
Crystal system: cubic

abc: 7.510 7.510 7.510
angles: 90.00 90.00 90.00
Space group F-43m (No. 216)
Unique sites:
Ca (0.000, 0.000, 0.000) (multiplicity 4)
Ca (0.250, 0.250, 0.250) (multiplicity 4)
Cr (0.000, 0.000, 0.500) (multiplicity 4)
Pb (0.250, 0.250, 0.750) (multiplicity 4)

[3]
YBeRe2: relaxed, PBE.

Computed properties:
Uncorrected energy, eV/atom: -8.55
Total magnetization, μB per atom: 0.00
Volume, A^3/atom: 18.3
Crystal system: monoclinic

abc: 8.058 3.239 5.747
angles: 90.00 102.26 90.00
Space group Cm (No. 8)
Unique sites:
Y (0.000, 0.000, 0.000) (multiplicity 2)
Be (0.246, 0.000, 0.674) (multiplicity 2)
Re (0.012, 0.500, 0.527) (multiplicity 2)
Re (0.277, 0.500, 0.372) (multiplicity 2)

[4]
Sm2Th3Mg2: relaxed, PBE.

Computed properties:
Uncorrected energy, eV/atom: -4.89
Total magnetization, μB per atom: 0.06
Volume, A^3/atom: 30.9
Crystal system: orthorhombic

abc: 3.524 34.855 3.524
angles: 90.00 90.00 90.00
Space group Cmmm (No. 65)
Unique sites:
Sm (0.000, 0.206, 0.000) (multiplicity 4)
Th (0.000, 0.073, 0.000) (multiplicity 4)
Th (0.000, 0.500, 0.500) (multiplicity 2)
Mg (0.000, 0.359, 0.500) (multiplicity 4)

[5]
Tb2UTaC4: relaxed, PBE.

Computed properties:
Uncorrected energy, eV/atom: -9.04
Total magnetization, μB per atom: 0.00
Volume, A^3/atom: 14.6
Crystal system: orthorhombic

abc: 6.829 7.001 9.749
angles: 90.00 90.00 90.00
Space group Imma (No. 74)
Unique sites:
Tb (0.000, 0.000, 0.000) (multiplicity 4)
Tb (0.250, 0.250, 0.250) (multiplicity 4)
U (0.000, 0.000, 0.500) (multiplicity 4)
Ta (0.250, 0.250, 0.750) (multiplicity 4)
C (0.000, 0.026, 0.740) (multiplicity 8)
C (0.227, 0.250, 0.518) (multiplicity 8)

[6]
Y5Sc2Ge4: relaxed, PBE.

Computed properties:
Uncorrected energy, eV/atom: -6.34
Total magnetization, μB per atom: 0.00
Volume, A^3/atom: 26.1
Crystal system: monoclinic

abc: 20.530 4.150 7.178
angles: 90.00 110.42 90.00
Space group C2/m (No. 12)
Unique sites:
Y (0.000, 0.000, 0.000) (multiplicity 2)
Y (0.164, 0.500, 0.928) (multiplicity 4)
Y (0.165, 0.500, 0.402) (multiplicity 4)
Sc (0.072, 0.000, 0.573) (multiplicity 4)
Ge (0.000, 0.500, 0.297) (multiplicity 4)
Ge (0.211, 0.000, 0.711) (multiplicity 4)

Table of formation energy from the elements (eV per atom), in record order: -0.15 0.12 0.22 0.09 -0.38 -0.57